DFT (GGA-PBE) results for CaLaY after structural relaxation.

It has space group P4/nmm (No. 129, origin choice 2), with a = 3.698 Å, b = 3.698 Å, c = 16.263 Å, α = 90.00°, β = 90.00° and γ = 90.00°. The distinct sites, in fractional coordinates, are Ca at (0.250, 0.250, 0.091), La at (0.250, 0.250, 0.732) and Y at (0.250, 0.250, 0.423).

As for the density of states at the Fermi level: 4.668 states/eV/f.u. The calculation puts the total energy at -4.43 eV per atom. The formation energy from the elements is 0.038 eV/atom. As for the total magnetization: 0.000 μB/atom. The value obtained for the excess energy over the best structure of this formula in the dataset is 0 meV/atom.